# 1
Below is an optimized crystal structure of Zn2CuPd5, with properties calculated at the PBE-GGA level.

Lattice parameters (Å, degrees): 4.237 5.349 10.338 90.00 90.00 90.00
Fractional coordinates of all 16 atoms:
Pd 0.500 0.669 0.886
Pd 0.000 0.130 0.263
Pd 0.500 0.331 0.114
Pd 0.000 0.500 0.500
Pd 0.000 0.630 0.237
Pd 0.500 0.831 0.386
Pd 0.500 0.169 0.614
Pd 0.000 0.870 0.737
Pd 0.000 0.000 0.000
Pd 0.000 0.370 0.763
Cu 0.000 0.500 0.000
Cu 0.000 0.000 0.500
Zn 0.500 0.837 0.130
Zn 0.500 0.163 0.870
Zn 0.500 0.337 0.370
Zn 0.500 0.663 0.630

## Properties
volume: 234.3 Å³/cell
SG: Pbam, No. 55
DFT total energy: -4.4157 eV/atom
magnetic moment: 0.0 μB/cell

# 2
Below is an optimized crystal structure of As2RhSeBr, with properties calculated at the PBE-GGA level.

Lattice parameters (Å, degrees): 4.848 4.848 4.966 90.00 90.00 90.00
Fractional coordinates of all 5 atoms:
Rh 0.000 0.000 0.000
As 0.500 0.000 0.000
As 0.000 0.500 0.000
Se 0.500 0.500 0.500
Br 0.000 0.000 0.500

## Properties
formation energy from raw total energies: 0.452 eV/atom
offset from the most stable computed form: 0.012 eV/atom
volume: 116.7 Å³/cell
SG: P4/mmm, No. 123
magnetic moment: 0.0 μB/cell

# 3
Below is an optimized crystal structure of GeP2W, with properties calculated at the PBE-GGA level.

Lattice parameters (Å, degrees): 5.601 5.601 6.676 65.20 65.20 90.00
Fractional coordinates of all 8 atoms:
Ge 0.250 0.750 0.500
Ge 0.500 0.500 0.000
W 0.000 0.000 0.000
W 0.750 0.250 0.500
P 0.112 0.625 0.250
P 0.638 0.125 0.250
P 0.375 0.362 0.750
P 0.875 0.888 0.750

## Properties
volume: 168.6 Å³/cell
SG: I-42d, No. 122
DFT total energy: -6.7813 eV/atom
magnetic moment: 1.6 μB/cell